Version w
{
  "formula": "Er6ThSc4",
  "functional": "PBE",
  "state": "optimized geometry",
  "magnetic_moment_mub_per_cell": 0.000,
  "spacegroup": "No. 121",
  "lattice": [[6.3401, 0.0000, 0.0000], [0.0000, 6.3401, 0.0000], [-3.1701, -3.1701, 8.2179]],
  "species": ["Th", "Er", "Er", "Er", "Er", "Er", "Er", "Sc", "Sc", "Sc", "Sc"],
  "fractional_positions": [[0.5000, 0.5000, 0.0000], [0.0000, 0.5000, 0.0000], [0.5113, 0.5113, 0.6417], [0.5000, 0.0000, 0.0000], [0.8696, 0.4887, 0.3583], [0.1304, 0.1304, 0.6417], [0.4887, 0.8696, 0.3583], [0.3074, 0.3074, 0.2504], [0.0569, 0.6926, 0.7496], [0.9431, 0.9431, 0.2504], [0.6926, 0.0569, 0.7496]]
}

Version x
{
  "formula": "Er6ThSc4",
  "functional": "PBE",
  "state": "optimized geometry",
  "magnetic_moment_mub_per_cell": 0.000,
  "spacegroup": "No. 63",
  "lattice": [[-3.0026, -4.1558, -1.8894], [5.0782, -0.8638, 1.7307], [-8.4926, -4.2327, 22.8063]],
  "species": ["Er", "Er", "Er", "Er", "Er", "Er", "Er", "Er", "Er", "Er", "Er", "Er", "Th", "Th", "Sc", "Sc", "Sc", "Sc", "Sc", "Sc", "Sc", "Sc"],
  "fractional_positions": [[0.5000, 0.0000, 0.0000], [0.1735, 0.3471, 0.9037], [0.5088, 0.0177, 0.7500], [0.1582, 0.3165, 0.1792], [0.1735, 0.3471, 0.5963], [0.5000, 0.0000, 0.5000], [0.8265, 0.6529, 0.4037], [0.8418, 0.6835, 0.8208], [0.8265, 0.6529, 0.0963], [0.4912, 0.9823, 0.2500], [0.8418, 0.6835, 0.6792], [0.1582, 0.3165, 0.3208], [0.1748, 0.3495, 0.7500], [0.8252, 0.6505, 0.2500], [0.1640, 0.3279, 0.0420], [0.5086, 0.0171, 0.8765], [0.8360, 0.6721, 0.5420], [0.4914, 0.9829, 0.3765], [0.8360, 0.6721, 0.9580], [0.4914, 0.9829, 0.1235], [0.1640, 0.3279, 0.4580], [0.5086, 0.0171, 0.6235]]
}

Each structure's energy above the most stable one, in meV/atom: version w 210; version x 0.